1.
The following is a PBE calculation of a relaxed Ba3Cr3N5 crystal, from the Alexandria database.

Calculated values
Formation energy from raw total energies, kcal/mol of atoms: -13.43
Total DFT energy (no corrections), eV per atom: -7.5158

Unit cell a=5.8743 b=7.4537 c=8.8561 alpha=106.75 beta=101.81 gamma=95.84
Closest atoms and distances in Å follow each position.
Element x y z (fractional)
Cr: 0.0801 0.6779 0.0243  4 N 1.85-1.92
Cr: 0.3131 0.0280 0.4208  4 N 1.85-1.97
Cr: 0.9199 0.3221 0.9757  4 N 1.85-1.92
Cr: 0.9118 0.1017 0.2966  4 N 1.85-2.07
Cr: 0.0882 0.8983 0.7034  4 N 1.85-2.07
Cr: 0.6869 0.9720 0.5792  4 N 1.85-1.97
Ba: 0.1834 0.5787 0.3891  4 N 2.74-2.94
Ba: 0.3499 0.1368 0.1173  6 N 2.80-3.02, 1 Cr 3.06
Ba: 0.6501 0.8632 0.8827  6 N 2.80-3.02, 1 Cr 3.06
Ba: 0.3530 0.3216 0.7831  5 N 2.68-2.84
Ba: 0.6470 0.6784 0.2169  5 N 2.68-2.84
Ba: 0.8166 0.4213 0.6109  4 N 2.74-2.94
N: 0.7842 0.5270 0.9357  2 Cr 1.85-1.88
N: 0.0863 0.8785 0.2182  3 Cr 1.92-2.07
N: 0.8240 0.7555 0.5389  2 Cr 1.85-1.87
N: 0.8592 0.2118 0.1333  2 Cr 1.85-1.89
N: 0.6340 0.0568 0.3878  3 Cr 1.95-2.00
N: 0.1760 0.2445 0.4611  2 Cr 1.85-1.87
N: 0.1408 0.7882 0.8667  2 Cr 1.85-1.89
N: 0.9137 0.1215 0.7818  3 Cr 1.92-2.07
N: 0.2158 0.4730 0.0643  2 Cr 1.85-1.88
N: 0.3660 0.9432 0.6122  3 Cr 1.95-2.00

2.
The following is a PBE calculation of a relaxed CuSbC3 crystal, from the Alexandria database.

Calculated values
Formation energy from raw total energies, kcal/mol of atoms: 70.70
Total DFT energy (no corrections), eV per atom: -4.1123

Unit cell a=4.2346 b=4.2346 c=4.2346 alpha=90.00 beta=90.00 gamma=90.00
Closest atoms and distances in Å follow each position.
Element x y z (fractional)
Cu: 0.5000 0.5000 0.5000  12 C 2.99
C: 0.0000 0.0000 0.5000  2 Sb 2.12
C: 0.0000 0.5000 0.0000  2 Sb 2.12
C: 0.5000 0.0000 0.0000  2 Sb 2.12
Sb: 0.0000 0.0000 0.0000  6 C 2.12

3.
The following is a PBE calculation of a relaxed Sm2BiIO8 crystal, from the Alexandria database.

Calculated values
Formation energy from raw total energies, kcal/mol of atoms: -41.44
Total DFT energy (no corrections), eV per atom: -6.3414

Unit cell a=5.1397 b=5.1379 c=7.0572 alpha=90.00 beta=90.00 gamma=90.75
Closest atoms and distances in Å follow each position.
Element x y z (fractional)
O: 0.3123 0.3110 0.4999  2 Sm 2.23, 1 Bi 2.25
O: 0.6877 0.6890 0.5001  2 Sm 2.23, 1 Bi 2.25
O: 0.2642 0.2628 0.0001  1 I 1.90
O: 0.7358 0.7372 0.9999  1 I 1.90
O: 0.1781 0.8204 0.2003  1 I 1.93
O: 0.8219 0.1796 0.7997  1 I 1.93
O: 0.8217 0.1794 0.2003  1 I 1.93
O: 0.1783 0.8206 0.7997  1 I 1.93
I: 0.0000 0.0000 0.0000  6 O 1.90-1.93
Sm: 0.5001 0.5001 0.2489  6 O 2.23-2.45
Sm: 0.4999 0.4999 0.7511  6 O 2.23-2.45
Bi: 0.0000 0.0000 0.5000  6 O 2.25-2.49